# 1
# LaCuSb2Te, optimized geometry, DFT PBE-GGA
# ΔE_f (raw), meV per atom: -295
# Energy relative to the lowest polymorph listed for this composition, kJ per mole of atoms: 0.00
data_LaCuSb2Te
_cell_length_a 5.107
_cell_length_b 5.107
_cell_length_c 5.340
_cell_angle_alpha 90.00
_cell_angle_beta 90.00
_cell_angle_gamma 90.00
_space_group_name_H-M_alt 'P 4/m m m'
_space_group_IT_number 123
_space_group_name_Hall '-P 4 2'
loop_
_atom_site_label
_atom_site_type_symbol
_atom_site_fract_x
_atom_site_fract_y
_atom_site_fract_z
_atom_site_occupancy
La1 La 0.000 0.000 0.000 1
Cu1 Cu 0.500 0.500 0.500 1
Sb1 Sb 0.000 0.500 0.500 1
Te1 Te 0.500 0.500 0.000 1

---

# 2
# La2CuSbW, optimized geometry, DFT PBE-GGA
# ΔE_f (raw), meV per atom: 975
data_La2CuSbW
_cell_length_a 6.043
_cell_length_b 6.043
_cell_length_c 4.634
_cell_angle_alpha 90.00
_cell_angle_beta 90.00
_cell_angle_gamma 90.00
_space_group_name_H-M_alt 'P 4/m m m'
_space_group_IT_number 123
_space_group_name_Hall '-P 4 2'
loop_
_atom_site_label
_atom_site_type_symbol
_atom_site_fract_x
_atom_site_fract_y
_atom_site_fract_z
_atom_site_occupancy
La1 La 0.000 0.500 0.000 1
Cu1 Cu 0.000 0.000 0.500 1
Sb1 Sb 0.000 0.000 0.000 1
W1 W 0.500 0.500 0.500 1

---

# 3
# LaCuSb2W, optimized geometry, DFT PBE-GGA
# ΔE_f (raw), meV per atom: 2042
data_LaCuSb2W
_cell_length_a 5.787
_cell_length_b 5.787
_cell_length_c 4.846
_cell_angle_alpha 90.00
_cell_angle_beta 90.00
_cell_angle_gamma 90.00
_space_group_name_H-M_alt 'P 4/m m m'
_space_group_IT_number 123
_space_group_name_Hall '-P 4 2'
loop_
_atom_site_label
_atom_site_type_symbol
_atom_site_fract_x
_atom_site_fract_y
_atom_site_fract_z
_atom_site_occupancy
La1 La 0.000 0.000 0.000 1
Cu1 Cu 0.000 0.000 0.500 1
Sb1 Sb 0.000 0.500 0.000 1
W1 W 0.500 0.500 0.500 1

---

# 4
# La2ScCu, optimized geometry, DFT PBE-GGA
# Formation energy from the elements, eV/f.u.: -0.23
# Energy relative to the lowest polymorph listed for this composition, kJ per mole of atoms: 0.00
data_La2ScCu
_cell_length_a 3.501
_cell_length_b 3.501
_cell_length_c 8.818
_cell_angle_alpha 90.00
_cell_angle_beta 90.00
_cell_angle_gamma 90.00
_space_group_name_H-M_alt 'P 4 m m'
_space_group_IT_number 99
_space_group_name_Hall 'P 4 -2'
loop_
_atom_site_label
_atom_site_type_symbol
_atom_site_fract_x
_atom_site_fract_y
_atom_site_fract_z
_atom_site_occupancy
La1 La 0.000 0.000 0.000 1
La2 La 0.500 0.500 0.334 1
Sc1 Sc 0.000 0.000 0.624 1
Cu1 Cu 0.500 0.500 0.770 1

---

# 5
# LaScCu, optimized geometry, DFT PBE-GGA
# Formation energy from the elements, eV/f.u.: 0.07
# Energy relative to the lowest polymorph listed for this composition, kJ per mole of atoms: 17.84
data_LaScCu
_cell_length_a 4.7092
_cell_length_b 4.7092
_cell_length_c 3.8506
_cell_angle_alpha 90.00
_cell_angle_beta 90.00
_cell_angle_gamma 120.00
_space_group_name_H-M_alt 'P -6 m 2'
_space_group_IT_number 187
_space_group_name_Hall 'P -6 2'
loop_
_atom_site_label
_atom_site_type_symbol
_atom_site_fract_x
_atom_site_fract_y
_atom_site_fract_z
_atom_site_occupancy
La1 La 0.0000 0.0000 0.0000 1
Sc1 Sc 0.6667 0.3333 0.5000 1
Cu1 Cu 0.3333 0.6667 0.5000 1

---

# 6
# LaScCu, optimized geometry, DFT PBE-GGA
# Formation energy from the elements, eV/f.u.: 0.26
# Energy relative to the lowest polymorph listed for this composition, kJ per mole of atoms: 24.11
data_LaScCu
_cell_length_a 3.5602
_cell_length_b 3.5602
_cell_length_c 6.9069
_cell_angle_alpha 90.00
_cell_angle_beta 90.00
_cell_angle_gamma 120.00
_space_group_name_H-M_alt 'P 3 m 1'
_space_group_IT_number 156
_space_group_name_Hall 'P 3 -2"'
loop_
_atom_site_label
_atom_site_type_symbol
_atom_site_fract_x
_atom_site_fract_y
_atom_site_fract_z
_atom_site_occupancy
La1 La 0.0000 0.0000 0.0000 1
Sc1 Sc 0.6667 0.3333 0.4200 1
Cu1 Cu 0.3333 0.6667 0.6734 1

---

# 7
# La2ScCu, optimized geometry, DFT PBE-GGA
# Formation energy from the elements, eV/f.u.: 0.41
# Energy relative to the lowest polymorph listed for this composition, kJ per mole of atoms: 15.46
data_La2ScCu
_cell_length_a 3.6881
_cell_length_b 3.6881
_cell_length_c 29.2355
_cell_angle_alpha 90.00
_cell_angle_beta 90.00
_cell_angle_gamma 120.00
_space_group_name_H-M_alt 'R -3 m'
_space_group_IT_number 166
_space_group_name_Hall '-R 3 2"'
loop_
_atom_site_label
_atom_site_type_symbol
_atom_site_fract_x
_atom_site_fract_y
_atom_site_fract_z
_atom_site_occupancy
La1 La 0.0000 0.0000 0.2398 1
Sc1 Sc 0.0000 0.0000 0.0000 1
Cu1 Cu 0.0000 0.0000 0.5000 1

---

# 8
# La2Sc2Cu, optimized geometry, DFT PBE-GGA
# Formation energy from the elements, eV/f.u.: 1.57
# Energy relative to the lowest polymorph listed for this composition, kJ per mole of atoms: 22.52
data_La2Sc2Cu
_cell_length_a 7.410
_cell_length_b 7.410
_cell_length_c 5.277
_cell_angle_alpha 90.00
_cell_angle_beta 90.00
_cell_angle_gamma 90.00
_space_group_name_H-M_alt 'P 4/m b m'
_space_group_IT_number 127
_space_group_name_Hall '-P 4 2ab'
loop_
_atom_site_label
_atom_site_type_symbol
_atom_site_fract_x
_atom_site_fract_y
_atom_site_fract_z
_atom_site_occupancy
La1 La 0.144 0.356 0.000 1
Sc1 Sc 0.157 0.657 0.500 1
Cu1 Cu 0.000 0.000 0.000 1